Record 1
# Sr2Ca2F, optimized geometry, DFT PBE
data_Sr2Ca2F
_cell_length_a 7.3455
_cell_length_b 7.3455
_cell_length_c 7.3024
_cell_angle_alpha 90.00
_cell_angle_beta 90.00
_cell_angle_gamma 90.00
_space_group_name_H-M_alt 'P 4/m b m'
_space_group_IT_number 127
_space_group_name_Hall '-P 4 2ab'
loop_
_atom_site_label
_atom_site_fract_x
_atom_site_fract_y
_atom_site_fract_z
Sr1 0.1940 0.3060 0.0000
Ca1 0.1690 0.6690 0.5000
F1 0.0000 0.0000 0.0000
# Calculated total energy (eV per cell): -27.343
# Offset from the most stable computed form (eV/f.u.): 0.00
# Energy relative to the elements, uncorrected (eV/atom): -0.887


Record 2
# SrCaF3, optimized geometry, DFT PBE
data_SrCaF3
_cell_length_a 4.5784
_cell_length_b 4.5784
_cell_length_c 4.5784
_cell_angle_alpha 90.00
_cell_angle_beta 90.00
_cell_angle_gamma 90.00
_space_group_name_H-M_alt 'P m -3 m'
_space_group_IT_number 221
_space_group_name_Hall '-P 4 2 3'
loop_
_atom_site_label
_atom_site_fract_x
_atom_site_fract_y
_atom_site_fract_z
Sr1 0.0000 0.0000 0.0000
Ca1 0.5000 0.5000 0.5000
F1 0.0000 0.5000 0.5000
# Calculated total energy (eV per cell): -25.088
# Offset from the most stable computed form (eV/f.u.): 0.00
# Energy relative to the elements, uncorrected (eV/atom): -3.158


Record 3
# SrCaF2, optimized geometry, DFT PBE
data_SrCaF2
_cell_length_a 5.7635
_cell_length_b 5.7635
_cell_length_c 11.5427
_cell_angle_alpha 90.00
_cell_angle_beta 90.00
_cell_angle_gamma 90.00
_space_group_name_H-M_alt 'I -4 2 d'
_space_group_IT_number 122
_space_group_name_Hall 'I -4 2bw'
loop_
_atom_site_label
_atom_site_fract_x
_atom_site_fract_y
_atom_site_fract_z
Sr1 0.0000 0.0000 0.0000
Ca1 0.0000 0.0000 0.5000
F1 0.2221 0.2500 0.6250
# Calculated total energy (eV per cell): -71.840
# Offset from the most stable computed form (eV/f.u.): 1.02
# Energy relative to the elements, uncorrected (eV/atom): -2.633


Record 4
# Sr2Ca2F, optimized geometry, DFT PBE
data_Sr2Ca2F
_cell_length_a 7.2681
_cell_length_b 7.2681
_cell_length_c 7.3011
_cell_angle_alpha 90.00
_cell_angle_beta 90.00
_cell_angle_gamma 90.00
_space_group_name_H-M_alt 'P 4/m b m'
_space_group_IT_number 127
_space_group_name_Hall '-P 4 2ab'
loop_
_atom_site_label
_atom_site_fract_x
_atom_site_fract_y
_atom_site_fract_z
Sr1 0.1749 0.3251 0.0000
Ca1 0.1907 0.6907 0.5000
F1 0.0000 0.0000 0.5000
# Calculated total energy (eV per cell): -26.386
# Offset from the most stable computed form (eV/f.u.): 0.48
# Energy relative to the elements, uncorrected (eV/atom): -0.791


Record 5
# SrCaF2, optimized geometry, DFT PBE
data_SrCaF2
_cell_length_a 4.1638
_cell_length_b 4.1638
_cell_length_c 18.9054
_cell_angle_alpha 90.00
_cell_angle_beta 90.00
_cell_angle_gamma 120.00
_space_group_name_H-M_alt 'R -3 m'
_space_group_IT_number 166
_space_group_name_Hall '-R 3 2"'
loop_
_atom_site_label
_atom_site_fract_x
_atom_site_fract_y
_atom_site_fract_z
Sr1 0.0000 0.0000 0.0000
Ca1 0.0000 0.0000 0.5000
F1 0.0000 0.0000 0.3788
# Calculated total energy (eV per cell): -56.939
# Offset from the most stable computed form (eV/f.u.): 0.00
# Energy relative to the elements, uncorrected (eV/atom): -2.888


Record 6
# Sr2Ca2F, optimized geometry, DFT PBE
data_Sr2Ca2F
_cell_length_a 4.6315
_cell_length_b 4.6315
_cell_length_c 20.3964
_cell_angle_alpha 90.00
_cell_angle_beta 90.00
_cell_angle_gamma 90.00
_space_group_name_H-M_alt 'I 4/m m m'
_space_group_IT_number 139
_space_group_name_Hall '-I 4 2'
loop_
_atom_site_label
_atom_site_fract_x
_atom_site_fract_y
_atom_site_fract_z
Sr1 0.0000 0.5000 0.2500
Ca1 0.0000 0.0000 0.0884
F1 0.0000 0.0000 0.5000
# Calculated total energy (eV per cell): -19.906
# Offset from the most stable computed form (eV/f.u.): 3.72
# Energy relative to the elements, uncorrected (eV/atom): -0.143


Record 7
# SrCaF5, optimized geometry, DFT PBE
data_SrCaF5
_cell_length_a 4.0148
_cell_length_b 4.0148
_cell_length_c 5.9565
_cell_angle_alpha 90.00
_cell_angle_beta 90.00
_cell_angle_gamma 90.00
_space_group_name_H-M_alt 'P 4/m m m'
_space_group_IT_number 123
_space_group_name_Hall '-P 4 2'
loop_
_atom_site_label
_atom_site_fract_x
_atom_site_fract_y
_atom_site_fract_z
Sr1 0.0000 0.0000 0.0000
Ca1 0.5000 0.5000 0.5000
F1 0.0000 0.5000 0.2826
F2 0.5000 0.5000 0.0000
# Calculated total energy (eV per cell): -36.105
# Energy relative to the elements, uncorrected (eV/atom): -3.295


Record 8
# Sr4CaF10, optimized geometry, DFT PBE
data_Sr4CaF10
_cell_length_a 9.1566
_cell_length_b 9.1566
_cell_length_c 5.7914
_cell_angle_alpha 90.00
_cell_angle_beta 90.00
_cell_angle_gamma 90.00
_space_group_name_H-M_alt 'I 4/m'
_space_group_IT_number 87
_space_group_name_Hall '-I 4'
loop_
_atom_site_label
_atom_site_fract_x
_atom_site_fract_y
_atom_site_fract_z
Sr1 0.1004 0.2984 0.0000
Ca1 0.0000 0.0000 0.5000
F1 0.0000 0.5000 0.2500
F2 0.0978 0.8059 0.2574
# Calculated total energy (eV per cell): -173.172
# Energy relative to the elements, uncorrected (eV/atom): -3.943


Number 1: magnetization 0.00 μB/cell. Number 2: magnetization 0.00 μB/cell. Number 3: magnetization 5.52 μB/cell. Number 4: magnetization 0.00 μB/cell. Number 5: magnetization 0.00 μB/cell. Number 6: magnetization 0.00 μB/cell. Number 7: magnetization 1.03 μB/cell. Number 8: magnetization 0.00 μB/cell.